Cs3Rb3ZnCoO5: optimized geometry, GGA+U.

Values from the calculation:
The energy above the most stable polymorph in this dataset comes out at 0.001 eV/atom. For the mass density, the calculation gives 4.62 Mg/m³. The value obtained for the volume is 23.8 Å³ per atom.

a b c (Å): 7.2842 12.0576 7.0596
angles (deg): 90.00 94.90 90.00
With the nearest neighbours (Å) after each atom.
Space group Cm (No. 8)
Asymmetric unit:
1 Cs 0.0000 0.0000 0.0000  2 O 2.94, 1 Zn 3.23
2 Cs 0.3670 0.2067 0.2092  4 O 2.84-3.10
3 Rb 0.2186 0.5000 0.3970  3 O 2.87-2.93
4 Rb 0.3628 0.2330 0.7041  5 O 2.83-2.99
5 Zn 0.0652 0.5000 0.8618  3 O 1.92-1.94
6 Co 0.1580 0.0000 0.5097  3 O 1.83-1.95
7 O 0.0531 0.1349 0.4540  1 Co 1.83
8 O 0.1636 0.3641 0.9681  1 Zn 1.92
9 O 0.4105 0.0000 0.6246  1 Zn 1.94, 1 Co 1.95